Computed, not measured: a geometry-optimized K2CoH2Se2O10 structure at the PBE+U level of DFT.

Structure (POSCAR):
```
K2CoH2Se2O10
1.0
5.4945 0.0000 0.0000
-1.7049 6.4429 0.0000
-0.7971 -2.4726 7.2648
K Co H Se O
2 1 2 2 10
Cartesian
0.4039 1.5353 1.6365
2.5885 2.4350 5.6283
2.3487 -1.2363 3.6324
1.5154 -1.9295 5.6813
1.4771 5.8998 1.5835
-0.2284 -0.0259 5.2646
3.2208 3.9962 2.0002
-1.0252 3.9431 3.1289
-0.0980 -1.4505 6.1198
-0.3042 1.3048 6.2351
1.2257 0.1923 4.3294
2.3241 -0.3699 2.0698
0.6684 4.3402 5.1950
1.7668 3.7780 2.9354
3.2967 2.6654 1.0297
3.0905 5.4208 1.1450
4.0177 0.0272 4.1359
```

Properties
The calculation puts the final energy at -87.52 eV for the cell shown.